1.
Computed, not measured: a relaxed Cs2RbNbCl6 crystal at the PBE level of DFT.

Computed properties:
- Formation energy from raw total energies: -1.666 eV per atom
- Total magnetic moment: 2.00 μB/f.u.
- Raw total energy: -4.048 eV per atom

Lattice parameters (Å, degrees): 7.6396 8.5033 11.2773 90.00 90.00 90.00
Site moments in Bohr magnetons follow the coordinates.
Fractional coordinates of all 20 atoms:
1 Nb 0.0000 0.7874 0.0000  1.63
2 Nb 0.5000 0.2126 0.5000  1.63
3 Cl 0.7352 0.4174 0.5000  0.00
4 Cl 0.2709 0.9989 0.5000  0.00
5 Cl 0.2648 0.4174 0.5000  0.00
6 Cl 0.5000 0.2123 0.7230  0.00
7 Cl 0.7709 0.0011 0.0000  0.00
8 Cl 0.7291 0.9989 0.5000  0.00
9 Cl 0.2352 0.5826 0.0000  0.00
10 Cl 0.0000 0.7877 0.7770  0.00
11 Cl 0.7648 0.5826 0.0000  0.00
12 Cl 0.2291 0.0011 0.0000  0.00
13 Cl 0.0000 0.7877 0.2230  0.00
14 Cl 0.5000 0.2123 0.2770  0.00
15 Cs 0.5000 0.7971 0.7747  0.00
16 Cs 0.0000 0.2029 0.2747  0.00
17 Cs 0.0000 0.2029 0.7253  0.00
18 Cs 0.5000 0.7971 0.2253  0.00
19 Rb 0.5000 0.2931 0.0000  0.00
20 Rb 0.0000 0.7069 0.5000  0.00

2.
Computed, not measured: a relaxed ErPaP2 crystal at the PBE level of DFT.

Computed properties:
- Total magnetic moment: 0.00 μB/f.u.
- Offset from the most stable computed form: 0.032 eV/atom
- Raw total energy: -7.639 eV per atom
- ΔE_f: -1.419 eV/atom

Lattice parameters (Å, degrees): 3.9636 3.9636 12.9036 90.00 90.00 120.00
Fractional coordinates of all 8 atoms:
1 Er 0.3333 0.6667 0.7500
2 Er 0.6667 0.3333 0.2500
3 Pa 0.0000 0.0000 0.0000
4 Pa 0.0000 0.0000 0.5000
5 P 0.3333 0.6667 0.1231
6 P 0.3333 0.6667 0.3769
7 P 0.6667 0.3333 0.6231
8 P 0.6667 0.3333 0.8769

raw total energy of number 2 (ErPaP2)?
-7.639 eV per atom